Entry 1
Sm2ScIn: relaxed, PBE.

Structure (POSCAR):
```
Sm2ScIn
1.0
3.6820 0.0000 0.0000
0.0000 3.6820 0.0000
0.0000 0.0000 8.5741
Sm In Sc
2 1 1
direct
0.0000 0.0000 0.2575
0.0000 0.0000 0.7425
0.5000 0.5000 0.5000
0.5000 0.5000 0.0000
```

Properties
Spin magnetization (Bohr magnetons per cell): 0.29
Density of states at the Fermi level (states/eV/atom): 1.87

Entry 2
Sm2ScIn: relaxed, PBE.

Structure (POSCAR):
```
Sm2ScIn
1.0
5.4271 0.0000 0.0000
2.7135 4.7000 0.0000
2.7135 1.5667 4.4312
Sc In Sm
1 1 2
direct
0.5000 0.5000 0.5000
0.0000 0.0000 0.0000
0.2500 0.2500 0.2500
0.7500 0.7500 0.7500
```

Properties
Spin magnetization (Bohr magnetons per cell): 1.18
Density of states at the Fermi level (states/eV/atom): 1.39

It comes down to entry 1, which is 1.8 kJ/mol of atoms more stable than the next structure.

Entry 1
SmScIn: relaxed, PBE.

Structure (POSCAR):
```
SmScIn
1.0
3.4114 0.0000 0.0000
0.0000 4.4401 0.0000
0.0000 0.0000 10.4800
In Sm Sc
2 2 2
direct
0.0000 0.2500 0.4876
0.5000 0.7500 0.9876
0.5000 0.7500 0.6614
0.0000 0.2500 0.1614
0.5000 0.7500 0.3529
0.0000 0.2500 0.8529
```

Properties
Spin magnetization (Bohr magnetons per cell): 1.14
Density of states at the Fermi level (states/eV/atom): 1.28

Entry 2
SmScIn: relaxed, PBE.

Structure (POSCAR):
```
SmScIn
1.0
5.2431 -0.0002 0.0000
-2.6208 4.5411 0.0000
0.0000 0.0000 6.6853
Sm Sc In
2 2 2
direct
0.0000 0.5000 0.5000
0.0000 0.5000 0.0000
0.3334 0.1666 0.2500
0.6666 0.8334 0.7500
0.6668 0.8332 0.2500
0.3332 0.1668 0.7500
```

Properties
Spin magnetization (Bohr magnetons per cell): 0.00
Density of states at the Fermi level (states/eV/atom): 1.10

It comes down to entry 2, which is 11.0 kJ/mol of atoms more stable than the next structure.

Entry 1
SmScIn: relaxed, PBE.

Structure (POSCAR):
```
SmScIn
1.0
3.1923 0.0000 0.0000
0.0000 5.2417 0.0000
0.0000 -2.6209 4.5394
Sm In Sc
1 1 1
direct
0.1679 0.0000 0.0000
0.6667 0.3333 0.6667
0.1655 0.6667 0.3333
```

Properties
Spin magnetization (Bohr magnetons per cell): 0.00
Density of states at the Fermi level (states/eV/atom): 1.31

Entry 2
SmScIn: relaxed, PBE.

Structure (POSCAR):
```
SmScIn
1.0
3.3670 0.0000 0.0000
0.0000 3.3670 0.0000
-1.6835 -1.6835 14.4353
Sc Sm In
2 2 2
direct
0.2884 0.2884 0.5768
0.7116 0.7116 0.4232
0.4376 0.4376 0.8752
0.5624 0.5624 0.1248
0.1402 0.1402 0.2804
0.8598 0.8598 0.7196
```

Properties
Spin magnetization (Bohr magnetons per cell): 0.11
Density of states at the Fermi level (states/eV/atom): 1.23

Entry 3
SmScIn: relaxed, PBE.

Structure (POSCAR):
```
SmScIn
1.0
-2.8629 0.0373 -1.9693
0.3127 -3.4217 -0.5193
-2.4545 0.5319 6.6443
In Sm Sc
1 1 1
direct
0.9402 0.9402 0.8804
0.6124 0.6124 0.2249
0.2974 0.2974 0.5947
```

Properties
Spin magnetization (Bohr magnetons per cell): 0.00
Density of states at the Fermi level (states/eV/atom): 1.12

It comes down to entry 3, which is 7.5 kJ/mol of atoms more stable than the next structure.

Entry 1
TbSmScIn: relaxed, PBE.

Structure (POSCAR):
```
TbSmScIn
1.0
-4.7902 -0.2813 0.1184
0.1373 -0.3441 4.7396
-0.2704 4.7545 0.3530
Sm Tb In Sc
1 1 1 1
direct
0.5000 0.5000 0.0000
0.5000 0.0000 0.5000
0.0000 0.5000 0.5000
0.0000 0.0000 0.0000
```

Properties
Spin magnetization (Bohr magnetons per cell): 0.01
Density of states at the Fermi level (states/eV/atom): 1.47

Entry 2
TbSmScIn: relaxed, PBE.

Structure (POSCAR):
```
TbSmScIn
1.0
5.3925 0.0000 0.0000
2.6962 4.6700 0.0000
2.6962 1.5567 4.4029
Tb In Sm Sc
1 1 1 1
direct
0.7500 0.7500 0.7500
0.0000 0.0000 0.0000
0.2500 0.2500 0.2500
0.5000 0.5000 0.5000
```

Properties
Spin magnetization (Bohr magnetons per cell): 1.13
Density of states at the Fermi level (states/eV/atom): 1.39

It comes down to entry 1, which is 9.1 kJ/mol of atoms more stable than the next structure.

Entry 1
Sc3InSn: relaxed, PBE.

Structure (POSCAR):
```
Sc3InSn
1.0
-1.1014 2.0093 -4.7948
-4.8183 -2.2350 0.1702
-1.9522 4.3827 2.2851
Sc Sn In
3 1 1
direct
0.5000 0.0000 0.0000
0.0000 0.0000 0.5000
0.0000 0.5000 0.0000
0.0000 0.0000 0.0000
0.5000 0.5000 0.5000
```

Properties
Spin magnetization (Bohr magnetons per cell): 0.00
Density of states at the Fermi level (states/eV/atom): 0.37

Entry 2
Sc3InSn: relaxed, PBE.

Structure (POSCAR):
```
Sc3InSn
1.0
9.9739 0.9045 0.7119
3.1492 7.1643 -0.2943
3.1492 1.3973 7.0328
Sc In Sn
12 4 4
direct
0.5871 0.9578 0.6255
0.5810 0.3308 0.2894
0.4625 0.2416 0.9258
0.0871 0.6255 0.9578
0.0375 0.0742 0.7584
0.9129 0.3745 0.0422
0.4190 0.6692 0.7106
0.9190 0.7106 0.6692
0.4129 0.0422 0.3745
0.0810 0.2894 0.3308
0.9625 0.9258 0.2416
0.5375 0.7584 0.0742
0.7500 0.9708 0.0292
0.2500 0.3481 0.6519
0.2500 0.0292 0.9708
0.7500 0.6519 0.3481
0.2771 0.5422 0.1941
0.7229 0.4578 0.8059
0.7771 0.1941 0.5422
0.2229 0.8059 0.4578
```

Properties
Spin magnetization (Bohr magnetons per cell): 0.00
Density of states at the Fermi level (states/eV/atom): 1.10

It comes down to entry 2, which is 42.5 kJ/mol of atoms more stable than the next structure.

Entry 1
ScInSn: relaxed, PBE.

Structure (POSCAR):
```
ScInSn
1.0
-1.0846 2.9249 -2.8491
-4.1555 -0.9659 0.5903
1.6413 5.7948 5.3241
In Sn Sc
2 2 2
direct
0.7500 0.2539 0.5077
0.2500 0.7461 0.4923
0.2500 0.4278 0.8556
0.7500 0.5722 0.1444
0.2500 0.0882 0.1764
0.7500 0.9118 0.8236
```

Properties
Spin magnetization (Bohr magnetons per cell): 0.00
Density of states at the Fermi level (states/eV/atom): 0.66

Entry 2
ScInSn: relaxed, PBE.

Structure (POSCAR):
```
ScInSn
1.0
3.1882 0.0000 0.0000
0.0000 5.0843 0.0000
0.0000 -2.5422 4.4032
In Sn Sc
1 1 1
direct
0.1638 0.0000 0.0000
0.1696 0.3333 0.6667
0.6666 0.6667 0.3333
```

Properties
Spin magnetization (Bohr magnetons per cell): 0.00
Density of states at the Fermi level (states/eV/atom): 1.03

Entry 3
ScInSn: relaxed, PBE.

Structure (POSCAR):
```
ScInSn
1.0
-1.2432 -5.9662 -0.8657
1.0724 0.6218 -5.8252
8.2394 1.3164 1.6573
In Sc Sn
4 4 4
direct
0.6525 0.7085 0.5173
0.3475 0.2915 0.4827
0.8475 0.2085 0.4827
0.1525 0.7915 0.5173
0.9645 0.1144 0.1618
0.0355 0.8856 0.8382
0.5355 0.6144 0.8382
0.4645 0.3856 0.1618
0.5352 0.1117 0.8407
0.4648 0.8883 0.1593
0.0352 0.3883 0.8407
0.9648 0.6117 0.1593
```

Properties
Spin magnetization (Bohr magnetons per cell): 0.00
Density of states at the Fermi level (states/eV/atom): 0.42

It comes down to entry 1, which is 3.8 kJ/mol of atoms more stable than the next structure.

Entry 1
ScInSn: relaxed, PBE.

Structure (POSCAR):
```
ScInSn
1.0
-2.3875 2.6388 0.8185
-2.6275 -1.8343 -1.7506
1.2380 -2.9793 5.0717
Sc In Sn
1 1 1
direct
0.9495 0.9495 0.8989
0.6131 0.6131 0.2262
0.2875 0.2875 0.5749
```

Properties
Spin magnetization (Bohr magnetons per cell): 0.00
Density of states at the Fermi level (states/eV/atom): 0.98

Entry 2
ScInSn: relaxed, PBE.

Structure (POSCAR):
```
ScInSn
1.0
3.4002 0.0000 -0.2255
-0.0002 4.5867 -0.0045
-0.6839 0.0101 9.8978
In Sn Sc
2 2 2
direct
0.9594 0.5669 0.1276
0.4722 0.0669 0.9604
0.9114 0.0674 0.3484
0.5198 0.5672 0.7398
0.4386 0.5675 0.4346
0.9930 0.0673 0.6535
```

Properties
Spin magnetization (Bohr magnetons per cell): 0.00
Density of states at the Fermi level (states/eV/atom): 0.57

It comes down to entry 2, which is 5.3 kJ/mol of atoms more stable than the next structure.

Entry 1
ScIn2Sn2: relaxed, PBE.

Structure (POSCAR):
```
ScIn2Sn2
1.0
-3.8105 3.1610 -6.1108
-1.7584 -7.2009 -2.6284
-3.5785 0.0499 2.2573
In Sc Sn
4 2 4
direct
0.3374 0.1626 0.5000
0.6626 0.8374 0.5000
0.1626 0.6626 0.5000
0.8374 0.3374 0.5000
0.5000 0.5000 0.0000
0.0000 0.0000 0.0000
0.6405 0.1405 0.0000
0.8595 0.6405 0.0000
0.1405 0.3595 0.0000
0.3595 0.8595 0.0000
```

Properties
Spin magnetization (Bohr magnetons per cell): 0.00
Density of states at the Fermi level (states/eV/atom): 0.53

Entry 2
ScIn2Sn2: relaxed, PBE.

Structure (POSCAR):
```
ScIn2Sn2
1.0
-6.3773 0.6802 -4.6712
4.4268 -1.8644 -6.3151
-0.8538 -4.0015 0.5829
In Sc Sn
4 2 4
direct
0.3653 0.8653 0.0000
0.8653 0.6347 0.0000
0.6347 0.1347 0.0000
0.1347 0.3653 0.0000
0.5000 0.5000 0.0000
0.0000 0.0000 0.0000
0.8335 0.3335 0.5000
0.3335 0.1665 0.5000
0.6665 0.8335 0.5000
0.1665 0.6665 0.5000
```

Properties
Spin magnetization (Bohr magnetons per cell): 0.00
Density of states at the Fermi level (states/eV/atom): 0.49

It comes down to entry 1, which is 3.9 kJ/mol of atoms more stable than the next structure.

Entry 1
ScIn2Sn: relaxed, PBE.

Structure (POSCAR):
```
ScIn2Sn
1.0
3.3796 0.0000 0.0000
1.6898 2.9268 0.0000
1.6898 0.9756 11.2342
In Sc Sn
2 1 1
direct
0.9117 0.9117 0.2649
0.0883 0.0883 0.7351
0.0000 0.0000 0.0000
0.5000 0.5000 0.5000
```

Properties
Spin magnetization (Bohr magnetons per cell): 0.00
Density of states at the Fermi level (states/eV/atom): 0.91

Entry 2
ScIn2Sn: relaxed, PBE.

Structure (POSCAR):
```
ScIn2Sn
1.0
-1.1947 0.4080 -4.7434
2.6720 -3.3545 -0.9615
-3.3216 -2.8161 0.5943
Sn Sc In
1 1 2
direct
0.5000 0.0000 0.0000
0.5000 0.5000 0.5000
0.0000 0.5000 0.0000
0.0000 0.0000 0.5000
```

Properties
Spin magnetization (Bohr magnetons per cell): 0.00
Density of states at the Fermi level (states/eV/atom): 0.58

It comes down to entry 2, which is 43.9 kJ/mol of atoms more stable than the next structure.

Entry 1
Sc6InSn: relaxed, PBE.

Structure (POSCAR):
```
Sc6InSn
1.0
5.1602 0.5318 0.0026
0.9180 5.1057 0.0026
1.8387 1.7053 8.0515
Sc In Sn
6 1 1
direct
0.6398 0.6398 0.0612
0.0638 0.5532 0.2985
0.5532 0.0638 0.2985
0.3602 0.3602 0.9388
0.4468 0.9362 0.7015
0.9362 0.4468 0.7015
0.0000 0.0000 0.0000
0.5000 0.5000 0.5000
```

Properties
Spin magnetization (Bohr magnetons per cell): 0.00
Density of states at the Fermi level (states/eV/atom): 1.51

Entry 2
Sc6InSn: relaxed, PBE.

Structure (POSCAR):
```
Sc6InSn
1.0
-0.6182 -4.4691 0.0246
0.8026 -0.1354 -4.4377
8.8068 -1.2093 1.6297
Sc Sn In
6 1 1
direct
0.0000 0.5000 0.7496
0.5000 0.5000 0.0000
0.0000 0.5000 0.2504
0.5000 0.0000 0.2504
0.5000 0.5000 0.5000
0.5000 0.0000 0.7496
0.0000 0.0000 0.5000
0.0000 0.0000 0.0000
```

Properties
Spin magnetization (Bohr magnetons per cell): 3.63
Density of states at the Fermi level (states/eV/atom): 1.13

It comes down to entry 2, which is 30.2 kJ/mol of atoms more stable than the next structure.

Entry 1
Sc2In2Sn: relaxed, PBE.

Structure (POSCAR):
```
Sc2In2Sn
1.0
8.2451 0.0000 0.0000
0.0000 8.2451 0.0000
0.0000 0.0000 3.5740
Sn In Sc
2 4 4
direct
0.0000 0.0000 0.0000
0.5000 0.5000 0.0000
0.8759 0.6241 0.0000
0.3759 0.8759 0.0000
0.6241 0.1241 0.0000
0.1241 0.3759 0.0000
0.6771 0.8229 0.5000
0.3229 0.1771 0.5000
0.8229 0.3229 0.5000
0.1771 0.6771 0.5000
```

Properties
Spin magnetization (Bohr magnetons per cell): 0.00
Density of states at the Fermi level (states/eV/atom): 0.56

Entry 2
Sc2In2Sn: relaxed, PBE.

Structure (POSCAR):
```
Sc2In2Sn
1.0
-5.4548 -4.8252 -1.7651
5.0011 -4.3962 -3.4373
0.7027 -2.1955 3.8302
In Sn Sc
4 2 4
direct
0.3507 0.1493 0.5000
0.8507 0.3507 0.5000
0.6493 0.8507 0.5000
0.1493 0.6493 0.5000
0.0000 0.0000 0.0000
0.5000 0.5000 0.0000
0.8466 0.6534 0.0000
0.3466 0.8466 0.0000
0.6534 0.1534 0.0000
0.1534 0.3466 0.0000
```

Properties
Spin magnetization (Bohr magnetons per cell): 0.00
Density of states at the Fermi level (states/eV/atom): 0.65

Entry 3
Sc2In2Sn: relaxed, PBE.

Structure (POSCAR):
```
Sc2In2Sn
1.0
4.8062 0.0420 0.0033
-2.3689 3.8938 -1.5259
0.0022 -0.5068 6.4930
Sn Sc In
1 2 2
direct
0.5000 0.0000 0.0000
0.1014 0.2022 0.8036
0.8986 0.7978 0.1964
0.6925 0.3828 0.5754
0.3075 0.6172 0.4246
```

Properties
Spin magnetization (Bohr magnetons per cell): 0.00
Density of states at the Fermi level (states/eV/atom): 0.49

It comes down to entry 3, which is 8.7 kJ/mol of atoms more stable than the next structure.

Entry 1
SrSc2In: relaxed, PBE.

Structure (POSCAR):
```
SrSc2In
1.0
3.6150 -8.4545 6.9178
6.3838 -8.2824 4.8013
6.1486 -6.1385 7.5443
Sc Sr In
2 1 1
direct
0.9009 0.9009 0.9009
0.0991 0.0991 0.0991
0.0000 0.0000 0.0000
0.5000 0.5000 0.5000
```

Properties
Spin magnetization (Bohr magnetons per cell): 0.00
Density of states at the Fermi level (states/eV/atom): 0.91

Entry 2
SrSc2In: relaxed, PBE.

Structure (POSCAR):
```
SrSc2In
1.0
6.5732 0.0127 0.0107
-2.7043 5.3809 -0.0067
0.7712 0.5499 3.1900
Sc In Sr
2 1 1
direct
0.0000 0.5000 0.5000
0.0000 0.0000 0.0000
0.5000 0.0000 0.5000
0.5000 0.5000 0.0000
```

Properties
Spin magnetization (Bohr magnetons per cell): 0.00
Density of states at the Fermi level (states/eV/atom): 1.52

It comes down to entry 2, which is 10.2 kJ/mol of atoms more stable than the next structure.